(1)
Density functional theory data (PBE-GGA) for an optimized crystal structure of SrPPtO.

**Electronic total energy**: -5.763 eV per atom
**Space group**: Pmc2_1, No. 26
**Total magnetic moment**: 0.0 μB/cell

Cell lengths 3.305, 8.158, 5.481 Å; angles 90.00, 90.00, 90.00 degrees
Atoms (fractional coordinates):
Sr  0.000  0.134  0.000
Sr  0.000  0.866  0.500
P  0.000  0.467  0.595
P  0.000  0.533  0.095
Pt  0.500  0.283  0.509
Pt  0.500  0.717  0.009
O  0.500  0.064  0.317
O  0.500  0.936  0.817

(2)
Density functional theory data (PBE-GGA) for an optimized crystal structure of SrPPtO.

**Electronic total energy**: -5.828 eV per atom
**Space group**: P4/nmm, No. 129
**Total magnetic moment**: 0.0 μB/cell

Cell lengths 4.299, 4.299, 8.509 Å; angles 90.00, 90.00, 90.00 degrees
Atoms (fractional coordinates):
Sr  0.250  0.250  0.122
Sr  0.750  0.750  0.878
P  0.250  0.250  0.628
P  0.750  0.750  0.372
Pt  0.250  0.750  0.500
Pt  0.750  0.250  0.500
O  0.250  0.750  0.000
O  0.750  0.250  0.000

(3)
Density functional theory data (PBE-GGA) for an optimized crystal structure of SrPPtO.

**Electronic total energy**: -4.354 eV per atom
**Space group**: P4/nmm, No. 129
**Total magnetic moment**: 1.0 μB/cell

Cell lengths 4.941, 4.941, 6.336 Å; angles 90.00, 90.00, 90.00 degrees
Atoms (fractional coordinates):
Sr  0.250  0.750  0.000
Sr  0.750  0.250  0.000
P  0.250  0.250  0.219
P  0.750  0.750  0.781
Pt  0.250  0.250  0.566
Pt  0.750  0.750  0.434
O  0.250  0.750  0.500
O  0.750  0.250  0.500

(4)
Density functional theory data (PBE-GGA) for an optimized crystal structure of TcPPtO.

**Electronic total energy**: -7.149 eV per atom
**Space group**: Pmc2_1, No. 26
**Total magnetic moment**: 0.0 μB/cell

Cell lengths 3.420, 6.122, 5.876 Å; angles 90.00, 90.00, 90.00 degrees
Atoms (fractional coordinates):
Tc  0.000  0.250  0.000
Tc  0.000  0.750  0.500
P  0.000  0.125  0.382
P  0.000  0.875  0.882
Pt  0.500  0.100  0.652
Pt  0.500  0.900  0.152
O  0.500  0.396  0.013
O  0.500  0.604  0.513

(5)
Density functional theory data (PBE-GGA) for an optimized crystal structure of TcPPtO.

**Electronic total energy**: -6.830 eV per atom
**Space group**: P4/nmm, No. 129
**Total magnetic moment**: 0.0 μB/cell

Cell lengths 3.839, 3.839, 6.813 Å; angles 90.00, 90.00, 90.00 degrees
Atoms (fractional coordinates):
Tc  0.250  0.250  0.162
Tc  0.750  0.750  0.838
P  0.250  0.250  0.729
P  0.750  0.750  0.271
Pt  0.250  0.750  0.500
Pt  0.750  0.250  0.500
O  0.250  0.750  0.000
O  0.750  0.250  0.000

(6)
Density functional theory data (PBE-GGA) for an optimized crystal structure of TcPPtO.

**Electronic total energy**: -6.764 eV per atom
**Space group**: P4/nmm, No. 129
**Total magnetic moment**: 0.0 μB/cell

Cell lengths 4.320, 4.320, 5.504 Å; angles 90.00, 90.00, 90.00 degrees
Atoms (fractional coordinates):
Tc  0.250  0.750  0.000
Tc  0.750  0.250  0.000
P  0.250  0.250  0.178
P  0.750  0.750  0.822
Pt  0.250  0.250  0.612
Pt  0.750  0.750  0.388
O  0.250  0.750  0.500
O  0.750  0.250  0.500

(7)
Density functional theory data (PBE-GGA) for an optimized crystal structure of TlPPtO.

**Electronic total energy**: -4.381 eV per atom
**Space group**: P4/nmm, No. 129
**Total magnetic moment**: 0.0 μB/cell

Cell lengths 4.346, 4.346, 9.062 Å; angles 90.00, 90.00, 90.00 degrees
Atoms (fractional coordinates):
Tl  0.250  0.750  0.000
Tl  0.750  0.250  0.000
P  0.250  0.250  0.202
P  0.750  0.750  0.798
Pt  0.250  0.250  0.446
Pt  0.750  0.750  0.554
O  0.250  0.750  0.500
O  0.750  0.250  0.500

(8)
Density functional theory data (PBE-GGA) for an optimized crystal structure of TlPPtO.

**Electronic total energy**: -4.966 eV per atom
**Space group**: P4/nmm, No. 129
**Total magnetic moment**: 0.0 μB/cell

Cell lengths 4.130, 4.130, 8.745 Å; angles 90.00, 90.00, 90.00 degrees
Atoms (fractional coordinates):
Tl  0.250  0.250  0.120
Tl  0.750  0.750  0.880
P  0.250  0.250  0.641
P  0.750  0.750  0.359
Pt  0.250  0.750  0.500
Pt  0.750  0.250  0.500
O  0.250  0.750  0.000
O  0.750  0.250  0.000

(9)
Density functional theory data (PBE-GGA) for an optimized crystal structure of TlPPtO.

**Electronic total energy**: -4.969 eV per atom
**Space group**: P4/nmm, No. 129
**Total magnetic moment**: 0.0 μB/cell

Cell lengths 4.140, 4.140, 8.806 Å; angles 90.00, 90.00, 90.00 degrees
Atoms (fractional coordinates):
Tl  0.250  0.250  0.119
Tl  0.750  0.750  0.881
P  0.250  0.250  0.639
P  0.750  0.750  0.361
Pt  0.250  0.750  0.500
Pt  0.750  0.250  0.500
O  0.250  0.750  0.000
O  0.750  0.250  0.000

(10)
Density functional theory data (PBE-GGA) for an optimized crystal structure of TlPPtO.

**Electronic total energy**: -4.816 eV per atom
**Space group**: Pmc2_1, No. 26
**Total magnetic moment**: 0.0 μB/cell

Cell lengths 3.318, 7.120, 6.848 Å; angles 90.00, 90.00, 90.00 degrees
Atoms (fractional coordinates):
Tl  0.000  0.196  0.000
Tl  0.000  0.804  0.500
P  0.000  0.170  0.397
P  0.000  0.830  0.897
Pt  0.500  0.289  0.578
Pt  0.500  0.711  0.078
O  0.500  0.376  0.863
O  0.500  0.624  0.363

(11)
Density functional theory data (PBE-GGA) for an optimized crystal structure of YPPtO.

**Electronic total energy**: -6.728 eV per atom
**Space group**: P4/nmm, No. 129
**Total magnetic moment**: 0.0 μB/cell

Cell lengths 5.754, 5.754, 4.446 Å; angles 90.00, 90.00, 90.00 degrees
Atoms (fractional coordinates):
Y  0.250  0.750  0.000
Y  0.750  0.250  0.000
P  0.250  0.250  0.012
P  0.750  0.750  0.988
Pt  0.250  0.250  0.512
Pt  0.750  0.750  0.488
O  0.250  0.750  0.500
O  0.750  0.250  0.500

(12)
Density functional theory data (PBE-GGA) for an optimized crystal structure of YPPtO.

**Electronic total energy**: -7.561 eV per atom
**Space group**: P4/nmm, No. 129
**Total magnetic moment**: 0.0 μB/cell

Cell lengths 4.113, 4.113, 7.692 Å; angles 90.00, 90.00, 90.00 degrees
Atoms (fractional coordinates):
Y  0.250  0.250  0.132
Y  0.750  0.750  0.868
P  0.250  0.250  0.663
P  0.750  0.750  0.337
Pt  0.250  0.750  0.500
Pt  0.750  0.250  0.500
O  0.250  0.750  0.000
O  0.750  0.250  0.000

(13)
Density functional theory data (PBE-GGA) for an optimized crystal structure of YPPtO.

**Electronic total energy**: -7.104 eV per atom
**Space group**: Pmc2_1, No. 26
**Total magnetic moment**: 0.0 μB/cell

Cell lengths 3.546, 7.575, 5.567 Å; angles 90.00, 90.00, 90.00 degrees
Atoms (fractional coordinates):
Y  0.000  0.217  0.000
Y  0.000  0.783  0.500
P  0.000  0.412  0.504
P  0.000  0.588  0.004
Pt  0.500  0.226  0.495
Pt  0.500  0.774  0.995
O  0.500  0.066  0.977
O  0.500  0.934  0.477

(14)
Density functional theory data (PBE-GGA) for an optimized crystal structure of RbRePO.

**Electronic total energy**: -5.391 eV per atom
**Space group**: P4/nmm, No. 129
**Total magnetic moment**: 0.4 μB/cell

Cell lengths 4.190, 4.190, 8.388 Å; angles 90.00, 90.00, 90.00 degrees
Atoms (fractional coordinates):
Rb  0.250  0.750  0.000
Rb  0.750  0.250  0.000
Re  0.250  0.250  0.437
Re  0.750  0.750  0.563
P  0.250  0.250  0.712
P  0.750  0.750  0.288
O  0.250  0.750  0.500
O  0.750  0.250  0.500

(15)
Density functional theory data (PBE-GGA) for an optimized crystal structure of RbRePO.

**Electronic total energy**: -6.426 eV per atom
**Space group**: Pmc2_1, No. 26
**Total magnetic moment**: 0.0 μB/cell

Cell lengths 3.821, 6.333, 7.496 Å; angles 90.00, 90.00, 90.00 degrees
Atoms (fractional coordinates):
Rb  0.000  0.176  0.000
Rb  0.000  0.824  0.500
Re  0.500  0.323  0.400
Re  0.500  0.677  0.900
P  0.500  0.423  0.691
P  0.500  0.577  0.191
O  0.000  0.283  0.394
O  0.000  0.717  0.894

(16)
Density functional theory data (PBE-GGA) for an optimized crystal structure of RbRePO.

**Electronic total energy**: -5.997 eV per atom
**Space group**: P4/nmm, No. 129
**Total magnetic moment**: 0.0 μB/cell

Cell lengths 3.728, 3.728, 12.114 Å; angles 90.00, 90.00, 90.00 degrees
Atoms (fractional coordinates):
Rb  0.250  0.250  0.162
Rb  0.750  0.750  0.838
Re  0.250  0.750  0.500
Re  0.750  0.250  0.500
P  0.250  0.250  0.632
P  0.750  0.750  0.368
O  0.250  0.750  0.000
O  0.750  0.250  0.000

(17)
Density functional theory data (PBE-GGA) for an optimized crystal structure of RbRePO.

**Electronic total energy**: -5.297 eV per atom
**Space group**: P4/nmm, No. 129
**Total magnetic moment**: 1.2 μB/cell

Cell lengths 3.682, 3.682, 9.519 Å; angles 90.00, 90.00, 90.00 degrees
Atoms (fractional coordinates):
Rb  0.250  0.750  0.000
Rb  0.750  0.250  0.000
Re  0.250  0.250  0.373
Re  0.750  0.750  0.627
P  0.250  0.250  0.734
P  0.750  0.750  0.266
O  0.250  0.750  0.500
O  0.750  0.250  0.500

(18)
Density functional theory data (PBE-GGA) for an optimized crystal structure of RbZrP2Se2S2O3.

**Electronic total energy**: -5.960 eV per atom
**Space group**: C2, No. 5
**Total magnetic moment**: 1.0 μB/cell

Cell lengths 6.435, 6.435, 6.492 Å; angles 98.09, 98.09, 97.16 degrees
Atoms (fractional coordinates):
Rb  0.000  0.000  0.000
Zr  0.402  0.598  0.500
P  0.546  0.098  0.440
P  0.902  0.454  0.560
Se  0.179  0.493  0.808
Se  0.507  0.821  0.192
S  0.009  0.538  0.300
S  0.462  0.991  0.700
O  0.428  0.275  0.364
O  0.725  0.572  0.636
O  0.801  0.199  0.500

(19)
Density functional theory data (PBE-GGA) for an optimized crystal structure of RbSmP4O12.

**Electronic total energy**: -7.261 eV per atom
**Space group**: C2/c, No. 15
**Total magnetic moment**: 0.0 μB/cell

Cell lengths 7.385, 7.385, 10.515 Å; angles 101.02, 101.02, 116.47 degrees
Atoms (fractional coordinates):
Rb  0.183  0.817  0.750
Rb  0.817  0.183  0.250
Sm  0.121  0.879  0.250
Sm  0.879  0.121  0.750
P  0.264  0.305  0.565
P  0.293  0.633  0.006
P  0.305  0.264  0.065
P  0.367  0.707  0.494
P  0.633  0.293  0.506
P  0.695  0.736  0.935
P  0.707  0.367  0.994
P  0.736  0.695  0.435
O  0.088  0.490  0.892
O  0.138  0.151  0.424
O  0.151  0.138  0.924
O  0.175  0.683  0.396
O  0.202  0.255  0.686
O  0.255  0.202  0.186
O  0.277  0.529  0.569
O  0.317  0.825  0.104
O  0.368  0.511  0.095
O  0.471  0.723  0.931
O  0.489  0.632  0.405
O  0.490  0.088  0.392
O  0.510  0.912  0.608
O  0.511  0.368  0.595
O  0.529  0.277  0.069
O  0.632  0.489  0.905
O  0.683  0.175  0.896
O  0.723  0.471  0.431
O  0.745  0.798  0.814
O  0.798  0.745  0.314
O  0.825  0.317  0.604
O  0.849  0.862  0.076
O  0.862  0.849  0.576
O  0.912  0.510  0.108

(20)
Density functional theory data (PBE-GGA) for an optimized crystal structure of RbTbPO.

**Electronic total energy**: -5.259 eV per atom
**Space group**: P4/nmm, No. 129
**Total magnetic moment**: 0.0 μB/cell

Cell lengths 4.124, 4.124, 10.659 Å; angles 90.00, 90.00, 90.00 degrees
Atoms (fractional coordinates):
Rb  0.250  0.750  0.000
Rb  0.750  0.250  0.000
Tb  0.250  0.250  0.406
Tb  0.750  0.750  0.594
P  0.250  0.250  0.765
P  0.750  0.750  0.235
O  0.250  0.750  0.500
O  0.750  0.250  0.500